# NaZrV2 | Alexandria | PBE-GGA | relaxed
data_NaZrV2
_chemical_formula_sum 'Na4 Zr4 V8'
_cell_length_a 3.8835
_cell_length_b 3.8835
_cell_length_c 19.5366
_cell_angle_alpha 90.00
_cell_angle_beta 90.00
_cell_angle_gamma 90.00
_space_group_name_H-M_alt 'I -4 2 d'
_space_group_IT_number 122
_space_group_name_Hall 'I -4 2bw'
loop_
_atom_site_label
_atom_site_type_symbol
_atom_site_fract_x
_atom_site_fract_y
_atom_site_fract_z
Na1 Na 0.0000 0.0000 0.0000
Zr1 Zr 0.0000 0.0000 0.5000
V1 V 0.2252 0.2500 0.6250
# - total magnetization (μB per cell) = 0.00
# - formation energy from the elements (eV/atom) = 1.1030
# - energy above the most stable polymorph in this dataset (eV per atom) = 0.112


# NaW | Alexandria | PBE-GGA | relaxed
data_NaW
_chemical_formula_sum 'Na6 W6'
_cell_length_a 5.4906
_cell_length_b 9.7692
_cell_length_c 4.5080
_cell_angle_alpha 90.00
_cell_angle_beta 90.00
_cell_angle_gamma 90.00
_space_group_name_H-M_alt 'P m m n'
_space_group_IT_number 59
loop_
_space_group_symop_operation_xyz
'x,y,z'
'-x,-y,-z'
'-x+1/2,-y+1/2,z'
'x+1/2,y+1/2,-z'
'x+1/2,-y,-z'
'-x+1/2,y,z'
'-x,y+1/2,-z'
'x,-y+1/2,z'
loop_
_atom_site_label
_atom_site_type_symbol
_atom_site_fract_x
_atom_site_fract_y
_atom_site_fract_z
Na1 Na 0.2500 0.0828 0.0009
Na2 Na 0.2500 0.2500 0.5014
W1 W 0.2500 0.6171 0.4994
W2 W 0.2500 0.7500 0.9797
# - total magnetization (μB per cell) = 0.00
# - formation energy from the elements (eV/atom) = 1.2215
# - energy above the most stable polymorph in this dataset (eV per atom) = 0.386


# NaW | Alexandria | PBE-GGA | relaxed
data_NaW
_chemical_formula_sum 'Na4 W4'
_cell_length_a 5.4682
_cell_length_b 5.4682
_cell_length_c 5.4682
_cell_angle_alpha 90.00
_cell_angle_beta 90.00
_cell_angle_gamma 90.00
_space_group_name_H-M_alt 'F m -3 m'
_space_group_IT_number 225
_space_group_name_Hall '-F 4 2 3'
loop_
_atom_site_label
_atom_site_type_symbol
_atom_site_fract_x
_atom_site_fract_y
_atom_site_fract_z
Na1 Na 0.0000 0.0000 0.0000
W1 W 0.0000 0.0000 0.5000
# - total magnetization (μB per cell) = 4.63
# - formation energy from the elements (eV/atom) = 3.1811
# - energy above the most stable polymorph in this dataset (eV per atom) = 2.346


# NaW | Alexandria | PBE-GGA | relaxed
data_NaW
_chemical_formula_sum 'Na8 W8'
_cell_length_a 9.6635
_cell_length_b 9.6635
_cell_length_c 9.6635
_cell_angle_alpha 90.00
_cell_angle_beta 90.00
_cell_angle_gamma 90.00
_space_group_name_H-M_alt 'I -4 3 m'
_space_group_IT_number 217
_space_group_name_Hall 'I -4 2 3'
loop_
_atom_site_label
_atom_site_type_symbol
_atom_site_fract_x
_atom_site_fract_y
_atom_site_fract_z
Na1 Na 0.2077 0.2077 0.2077
W1 W 0.0894 0.0894 0.9106
# - total magnetization (μB per cell) = 3.94
# - formation energy from the elements (eV/atom) = 1.7806
# - energy above the most stable polymorph in this dataset (eV per atom) = 0.945


# NaW | Alexandria | PBE-GGA | relaxed
data_NaW
_chemical_formula_sum 'Na8 W8'
_cell_length_a 13.1829
_cell_length_b 13.1829
_cell_length_c 3.0260
_cell_angle_alpha 90.00
_cell_angle_beta 90.00
_cell_angle_gamma 90.00
_space_group_name_H-M_alt 'I 4/m'
_space_group_IT_number 87
_space_group_name_Hall '-I 4'
loop_
_atom_site_label
_atom_site_type_symbol
_atom_site_fract_x
_atom_site_fract_y
_atom_site_fract_z
Na1 Na 0.0383 0.8128 0.0000
W1 W 0.1888 0.2814 0.0000
# - total magnetization (μB per cell) = 0.00
# - formation energy from the elements (eV/atom) = 1.4280
# - energy above the most stable polymorph in this dataset (eV per atom) = 0.593


# NaW | Alexandria | PBE-GGA | relaxed
data_NaW
_chemical_formula_sum 'Na8 W8'
_cell_length_a 11.0543
_cell_length_b 11.0543
_cell_length_c 2.6547
_cell_angle_alpha 90.00
_cell_angle_beta 90.00
_cell_angle_gamma 90.00
_space_group_name_H-M_alt 'P 4/m'
_space_group_IT_number 83
loop_
_space_group_symop_operation_xyz
'x,y,z'
'-x,-y,-z'
'-y,x,z'
'y,-x,-z'
'-x,-y,z'
'x,y,-z'
'y,-x,z'
'-y,x,-z'
loop_
_atom_site_label
_atom_site_type_symbol
_atom_site_fract_x
_atom_site_fract_y
_atom_site_fract_z
Na1 Na 0.0336 0.1925 0.0000
Na2 Na 0.2106 0.6962 0.5000
W1 W 0.1031 0.4404 0.5000
W2 W 0.3303 0.4716 0.0000
# - total magnetization (μB per cell) = 0.00
# - formation energy from the elements (eV/atom) = 0.9406
# - energy above the most stable polymorph in this dataset (eV per atom) = 0.105


# NaW | Alexandria | PBE-GGA | relaxed
data_NaW
_chemical_formula_sum 'Na4 W4'
_cell_length_a 5.7865
_cell_length_b 5.7865
_cell_length_c 6.0639
_cell_angle_alpha 90.00
_cell_angle_beta 90.00
_cell_angle_gamma 90.00
_space_group_name_H-M_alt 'P 42/m n m'
_space_group_IT_number 136
_space_group_name_Hall '-P 4n 2n'
loop_
_atom_site_label
_atom_site_type_symbol
_atom_site_fract_x
_atom_site_fract_y
_atom_site_fract_z
Na1 Na 0.1607 0.1607 0.0000
W1 W 0.1321 0.1321 0.5000
# - total magnetization (μB per cell) = 0.00
# - formation energy from the elements (eV/atom) = 2.0857
# - energy above the most stable polymorph in this dataset (eV per atom) = 1.250


# NaW | Alexandria | PBE-GGA | relaxed
data_NaW
_chemical_formula_sum 'Na2 W2'
_cell_length_a 5.4806
_cell_length_b 5.4806
_cell_length_c 6.2896
_cell_angle_alpha 90.00
_cell_angle_beta 90.00
_cell_angle_gamma 120.00
_space_group_name_H-M_alt 'P 63/m m c'
_space_group_IT_number 194
_space_group_name_Hall '-P 6c 2c'
loop_
_atom_site_label
_atom_site_type_symbol
_atom_site_fract_x
_atom_site_fract_y
_atom_site_fract_z
Na1 Na 0.3333 0.6667 0.2500
W1 W 0.3333 0.6667 0.7500
# - total magnetization (μB per cell) = 10.16
# - formation energy from the elements (eV/atom) = 3.3646
# - energy above the most stable polymorph in this dataset (eV per atom) = 2.529


# NaW | Alexandria | PBE-GGA | relaxed
data_NaW
_chemical_formula_sum 'Na16 W16'
_cell_length_a 5.6862
_cell_length_b 8.3381
_cell_length_c 14.4025
_cell_angle_alpha 90.00
_cell_angle_beta 90.00
_cell_angle_gamma 90.00
_space_group_name_H-M_alt 'F d d d'
_space_group_IT_number 70
loop_
_space_group_symop_operation_xyz
'x,y,z'
'-x,-y,-z'
'-x+1/4,-y+1/4,z'
'x+1/4,y+1/4,-z'
'x,-y+1/4,-z+1/4'
'-x,y+1/4,z+1/4'
'-x+1/4,y,-z+1/4'
'x+1/4,-y,z+1/4'
'x,y+1/2,z+1/2'
'-x,-y+1/2,-z+1/2'
'-x+1/4,-y+3/4,z+1/2'
'x+1/4,y+3/4,-z+1/2'
'x,-y+3/4,-z+3/4'
'-x,y+3/4,z+3/4'
'-x+1/4,y+1/2,-z+3/4'
'x+1/4,-y+1/2,z+3/4'
'x+1/2,y,z+1/2'
'-x+1/2,-y,-z+1/2'
'-x+3/4,-y+1/4,z+1/2'
'x+3/4,y+1/4,-z+1/2'
'x+1/2,-y+1/4,-z+3/4'
'-x+1/2,y+1/4,z+3/4'
'-x+3/4,y,-z+3/4'
'x+3/4,-y,z+3/4'
'x+1/2,y+1/2,z'
'-x+1/2,-y+1/2,-z'
'-x+3/4,-y+3/4,z'
'x+3/4,y+3/4,-z'
'x+1/2,-y+3/4,-z+1/4'
'-x+1/2,y+3/4,z+1/4'
'-x+3/4,y+1/2,-z+1/4'
'x+3/4,-y+1/2,z+1/4'
loop_
_atom_site_label
_atom_site_type_symbol
_atom_site_fract_x
_atom_site_fract_y
_atom_site_fract_z
Na1 Na 0.1250 0.2777 0.1250
W1 W 0.1250 0.1250 0.5428
# - total magnetization (μB per cell) = 0.00
# - formation energy from the elements (eV/atom) = 1.5060
# - energy above the most stable polymorph in this dataset (eV per atom) = 0.671


# NaW | Alexandria | PBE-GGA | relaxed
data_NaW
_chemical_formula_sum 'Na4 W4'
_cell_length_a 7.2549
_cell_length_b 7.2549
_cell_length_c 7.2549
_cell_angle_alpha 90.00
_cell_angle_beta 90.00
_cell_angle_gamma 90.00
_space_group_name_H-M_alt 'F -4 3 m'
_space_group_IT_number 216
_space_group_name_Hall 'F -4 2 3'
loop_
_atom_site_label
_atom_site_type_symbol
_atom_site_fract_x
_atom_site_fract_y
_atom_site_fract_z
Na1 Na 0.0000 0.0000 0.0000
W1 W 0.2500 0.2500 0.7500
# - total magnetization (μB per cell) = 20.38
# - formation energy from the elements (eV/atom) = 3.5090
# - energy above the most stable polymorph in this dataset (eV per atom) = 2.674


# NaW | Alexandria | PBE-GGA | relaxed
data_NaW
_chemical_formula_sum 'Na2 W2'
_cell_length_a 2.9755
_cell_length_b 4.0948
_cell_length_c 8.1563
_cell_angle_alpha 90.00
_cell_angle_beta 90.00
_cell_angle_gamma 90.00
_space_group_name_H-M_alt 'P m m n'
_space_group_IT_number 59
loop_
_space_group_symop_operation_xyz
'x,y,z'
'-x,-y,-z'
'-x+1/2,-y+1/2,z'
'x+1/2,y+1/2,-z'
'x+1/2,-y,-z'
'-x+1/2,y,z'
'-x,y+1/2,-z'
'x,-y+1/2,z'
loop_
_atom_site_label
_atom_site_type_symbol
_atom_site_fract_x
_atom_site_fract_y
_atom_site_fract_z
Na1 Na 0.2500 0.2500 0.1689
W1 W 0.2500 0.7500 0.4647
# - total magnetization (μB per cell) = 0.00
# - formation energy from the elements (eV/atom) = 0.9055
# - energy above the most stable polymorph in this dataset (eV per atom) = 0.070


# NaW | Alexandria | PBE-GGA | relaxed
data_NaW
_chemical_formula_sum 'Na6 W6'
_cell_length_a 10.2501
_cell_length_b 10.2501
_cell_length_c 2.6331
_cell_angle_alpha 90.00
_cell_angle_beta 90.00
_cell_angle_gamma 120.00
_space_group_name_H-M_alt 'P 63/m'
_space_group_IT_number 176
_space_group_name_Hall '-P 6c'
loop_
_atom_site_label
_atom_site_type_symbol
_atom_site_fract_x
_atom_site_fract_y
_atom_site_fract_z
Na1 Na 0.0600 0.2885 0.2500
W1 W 0.1603 0.6051 0.2500
# - total magnetization (μB per cell) = 0.00
# - formation energy from the elements (eV/atom) = 1.0481
# - energy above the most stable polymorph in this dataset (eV per atom) = 0.213


# NaW | Alexandria | PBE-GGA | relaxed
data_NaW
_chemical_formula_sum 'Na8 W8'
_cell_length_a 11.0957
_cell_length_b 3.1726
_cell_length_c 10.9301
_cell_angle_alpha 90.00
_cell_angle_beta 90.00
_cell_angle_gamma 90.00
_space_group_name_H-M_alt 'P n m a'
_space_group_IT_number 62
loop_
_space_group_symop_operation_xyz
'x,y,z'
'-x,-y,-z'
'-x+1/2,-y,z+1/2'
'x+1/2,y,-z+1/2'
'x+1/2,-y+1/2,-z+1/2'
'-x+1/2,y+1/2,z+1/2'
'-x,y+1/2,-z'
'x,-y+1/2,z'
loop_
_atom_site_label
_atom_site_type_symbol
_atom_site_fract_x
_atom_site_fract_y
_atom_site_fract_z
Na1 Na 0.1323 0.2500 0.0786
Na2 Na 0.1557 0.7500 0.7920
W1 W 0.0847 0.7500 0.3516
W2 W 0.1070 0.2500 0.5251
# - total magnetization (μB per cell) = 0.00
# - formation energy from the elements (eV/atom) = 0.8353
# - energy above the most stable polymorph in this dataset (eV per atom) = 0.000


# NaY2W | Alexandria | PBE-GGA | relaxed
data_NaY2W
_chemical_formula_sum 'Na4 Y8 W4'
_cell_length_a 8.2428
_cell_length_b 8.2428
_cell_length_c 11.7308
_cell_angle_alpha 90.00
_cell_angle_beta 90.00
_cell_angle_gamma 90.00
_space_group_name_H-M_alt 'I 41/a m d'
_space_group_IT_number 141
loop_
_space_group_symop_operation_xyz
'x,y,z'
'-x,-y,-z'
'-y+1/4,x+3/4,z+1/4'
'y+1/4,-x+3/4,-z+1/4'
'-x+1/2,-y,z+1/2'
'x+1/2,y,-z+1/2'
'y+1/4,-x+1/4,z+3/4'
'-y+1/4,x+1/4,-z+3/4'
'x,-y,-z'
'-x,y,z'
'-y+1/4,-x+1/4,-z+3/4'
'y+1/4,x+1/4,z+3/4'
'-x+1/2,y,-z+1/2'
'x+1/2,-y,z+1/2'
'y+1/4,x+3/4,-z+1/4'
'-y+1/4,-x+3/4,z+1/4'
'x+1/2,y+1/2,z+1/2'
'-x+1/2,-y+1/2,-z+1/2'
'-y+3/4,x+1/4,z+3/4'
'y+3/4,-x+1/4,-z+3/4'
'-x,-y+1/2,z'
'x,y+1/2,-z'
'y+3/4,-x+3/4,z+1/4'
'-y+3/4,x+3/4,-z+1/4'
'x+1/2,-y+1/2,-z+1/2'
'-x+1/2,y+1/2,z+1/2'
'-y+3/4,-x+3/4,-z+1/4'
'y+3/4,x+3/4,z+1/4'
'-x,y+1/2,-z'
'x,-y+1/2,z'
'y+3/4,x+1/4,-z+3/4'
'-y+3/4,-x+1/4,z+3/4'
loop_
_atom_site_label
_atom_site_type_symbol
_atom_site_fract_x
_atom_site_fract_y
_atom_site_fract_z
Na1 Na 0.0000 0.2500 0.3750
Y1 Y 0.0000 0.0000 0.0000
W1 W 0.0000 0.2500 0.8750
# - total magnetization (μB per cell) = 0.00
# - formation energy from the elements (eV/atom) = 1.4884
# - energy above the most stable polymorph in this dataset (eV per atom) = 0.841


# NaY2W | Alexandria | PBE-GGA | relaxed
data_NaY2W
_chemical_formula_sum 'Na4 Y8 W4'
_cell_length_a 7.2990
_cell_length_b 7.2990
_cell_length_c 7.2990
_cell_angle_alpha 90.00
_cell_angle_beta 90.00
_cell_angle_gamma 90.00
_space_group_name_H-M_alt 'F m -3 m'
_space_group_IT_number 225
_space_group_name_Hall '-F 4 2 3'
loop_
_atom_site_label
_atom_site_type_symbol
_atom_site_fract_x
_atom_site_fract_y
_atom_site_fract_z
Na1 Na 0.0000 0.0000 0.0000
Y1 Y 0.2500 0.2500 0.2500
W1 W 0.0000 0.0000 0.5000
# - total magnetization (μB per cell) = 4.64
# - formation energy from the elements (eV/atom) = 0.6471
# - energy above the most stable polymorph in this dataset (eV per atom) = 0.000


# Na2YW | Alexandria | PBE-GGA | relaxed
data_Na2YW
_chemical_formula_sum 'Na8 Y4 W4'
_cell_length_a 7.1835
_cell_length_b 7.1835
_cell_length_c 7.1835
_cell_angle_alpha 90.00
_cell_angle_beta 90.00
_cell_angle_gamma 90.00
_space_group_name_H-M_alt 'F m -3 m'
_space_group_IT_number 225
_space_group_name_Hall '-F 4 2 3'
loop_
_atom_site_label
_atom_site_type_symbol
_atom_site_fract_x
_atom_site_fract_y
_atom_site_fract_z
Na1 Na 0.2500 0.2500 0.2500
Y1 Y 0.0000 0.0000 0.0000
W1 W 0.0000 0.0000 0.5000
# - total magnetization (μB per cell) = 0.25
# - formation energy from the elements (eV/atom) = 1.3328
# - energy above the most stable polymorph in this dataset (eV per atom) = 0.232


# Na3YW | Alexandria | PBE-GGA | relaxed
data_Na3YW
_chemical_formula_sum 'Na3 Y1 W1'
_cell_length_a 5.6238
_cell_length_b 5.6238
_cell_length_c 5.6238
_cell_angle_alpha 90.00
_cell_angle_beta 90.00
_cell_angle_gamma 90.00
_space_group_name_H-M_alt 'P m -3 m'
_space_group_IT_number 221
_space_group_name_Hall '-P 4 2 3'
loop_
_atom_site_label
_atom_site_type_symbol
_atom_site_fract_x
_atom_site_fract_y
_atom_site_fract_z
Na1 Na 0.0000 0.0000 0.5000
Y1 Y 0.5000 0.5000 0.5000
W1 W 0.0000 0.0000 0.0000
# - total magnetization (μB per cell) = 3.25
# - formation energy from the elements (eV/atom) = 1.6635


# Na2YW | Alexandria | PBE-GGA | relaxed
data_Na2YW
_chemical_formula_sum 'Na8 Y4 W4'
_cell_length_a 4.0688
_cell_length_b 4.0688
_cell_length_c 24.6669
_cell_angle_alpha 90.00
_cell_angle_beta 90.00
_cell_angle_gamma 90.00
_space_group_name_H-M_alt 'I -4 2 d'
_space_group_IT_number 122
_space_group_name_Hall 'I -4 2bw'
loop_
_atom_site_label
_atom_site_type_symbol
_atom_site_fract_x
_atom_site_fract_y
_atom_site_fract_z
Na1 Na 0.2320 0.2500 0.1250
Y1 Y 0.0000 0.0000 0.5000
W1 W 0.0000 0.0000 0.0000
# - total magnetization (μB per cell) = 0.00
# - formation energy from the elements (eV/atom) = 1.1009
# - energy above the most stable polymorph in this dataset (eV per atom) = 0.000


# NaZnW2 | Alexandria | PBE-GGA | relaxed
data_NaZnW2
_chemical_formula_sum 'Na4 Zn4 W8'
_cell_length_a 3.7432
_cell_length_b 3.7432
_cell_length_c 20.6330
_cell_angle_alpha 90.00
_cell_angle_beta 90.00
_cell_angle_gamma 90.00
_space_group_name_H-M_alt 'I -4 2 d'
_space_group_IT_number 122
_space_group_name_Hall 'I -4 2bw'
loop_
_atom_site_label
_atom_site_type_symbol
_atom_site_fract_x
_atom_site_fract_y
_atom_site_fract_z
Na1 Na 0.0000 0.0000 0.0000
Zn1 Zn 0.0000 0.0000 0.5000
W1 W 0.2396 0.2500 0.6250
# - total magnetization (μB per cell) = 0.00
# - formation energy from the elements (eV/atom) = 1.1170
# - energy above the most stable polymorph in this dataset (eV per atom) = 0.000


# NaZn2W | Alexandria | PBE-GGA | relaxed
data_NaZn2W
_chemical_formula_sum 'Na4 Zn8 W4'
_cell_length_a 4.2081
_cell_length_b 4.2081
_cell_length_c 18.1908
_cell_angle_alpha 90.00
_cell_angle_beta 90.00
_cell_angle_gamma 90.00
_space_group_name_H-M_alt 'I -4 2 d'
_space_group_IT_number 122
_space_group_name_Hall 'I -4 2bw'
loop_
_atom_site_label
_atom_site_type_symbol
_atom_site_fract_x
_atom_site_fract_y
_atom_site_fract_z
Na1 Na 0.0000 0.0000 0.0000
Zn1 Zn 0.1957 0.2500 0.6250
W1 W 0.0000 0.0000 0.5000
# - total magnetization (μB per cell) = 5.85
# - formation energy from the elements (eV/atom) = 1.2272
# - energy above the most stable polymorph in this dataset (eV per atom) = 0.474